# ZnFeGeMo PBE-GGA optimized geometry
# ΔE to the lowest computed polymorph ... 0.0000 eV per atom
data_ZnFeGeMo
_chemical_formula_sum 'Zn4 Fe4 Ge4 Mo4'
_cell_length_a 6.0546
_cell_length_b 6.0546
_cell_length_c 6.0546
_cell_angle_alpha 90.00
_cell_angle_beta 90.00
_cell_angle_gamma 90.00
_space_group_name_H-M_alt 'F -4 3 m'
_space_group_IT_number 216
_space_group_name_Hall 'F -4 2 3'
loop_
_atom_site_label
_atom_site_type_symbol
_atom_site_fract_x
_atom_site_fract_y
_atom_site_fract_z
_atom_site_occupancy
Zn1 Zn 0.0000 0.0000 0.0000 1
Fe1 Fe 0.2500 0.2500 0.7500 1
Ge1 Ge 0.0000 0.0000 0.5000 1
Mo1 Mo 0.2500 0.2500 0.2500 1